Record 1
{
  "formula": "Cs2Tm2TiSe6",
  "functional": "GGA-PBE",
  "state": "optimized geometry",
  "cell": [[-3.884, 1.584, 5.504], [4.196, -5.497, 0.235], [6.184, 6.314, 0.999]],
  "species": ["Tm", "Tm", "Se", "Se", "Se", "Se", "Se", "Se", "Cs", "Cs", "Ti"],
  "frac_coords": [[0.668, 0.332, 0.500], [0.332, 0.668, 0.500], [0.248, 0.248, 0.324], [0.373, 0.065, 0.678], [0.752, 0.752, 0.676], [0.627, 0.935, 0.322], [0.065, 0.373, 0.678], [0.935, 0.627, 0.322], [0.829, 0.171, 0.000], [0.171, 0.829, 0.000], [0.000, 0.000, 0.500]],
  "magmom_total_mub_per_atom": 0.00,
  "raw_formation_energy_ev_per_atom": -1.54
}


Record 2
{
  "formula": "Pm12Sn3C5",
  "functional": "GGA-PBE",
  "state": "optimized geometry",
  "cell": [[14.187, 0.000, 0.000], [-4.729, 13.376, 0.000], [-4.729, -6.688, 11.584]],
  "species": ["Pm", "Pm", "Pm", "Pm", "Pm", "Pm", "Pm", "Pm", "Pm", "Pm", "Pm", "Pm", "Pm", "Pm", "Pm", "Pm", "Pm", "Pm", "Pm", "Pm", "Pm", "Pm", "Pm", "Pm", "Pm", "Pm", "Pm", "Pm", "Pm", "Pm", "Pm", "Pm", "Pm", "Pm", "Pm", "Pm", "Pm", "Pm", "Pm", "Pm", "Pm", "Pm", "Pm", "Pm", "Pm", "Pm", "Pm", "Pm", "C", "C", "C", "C", "C", "C", "C", "C", "C", "C", "C", "C", "C", "C", "C", "C", "C", "C", "C", "C", "Sn", "Sn", "Sn", "Sn", "Sn", "Sn", "Sn", "Sn", "Sn", "Sn", "Sn", "Sn"],
  "frac_coords": [[0.405, 0.019, 0.318], [0.799, 0.318, 0.913], [0.182, 0.095, 0.981], [0.587, 0.701, 0.682], [0.413, 0.114, 0.595], [0.818, 0.905, 0.019], [0.595, 0.981, 0.682], [0.386, 0.981, 0.799], [0.981, 0.386, 0.299], [0.799, 0.481, 0.386], [0.019, 0.405, 0.818], [0.614, 0.019, 0.201], [0.682, 0.481, 0.595], [0.519, 0.201, 0.114], [0.614, 0.595, 0.913], [0.913, 0.095, 0.614], [0.182, 0.087, 0.701], [0.886, 0.299, 0.481], [0.682, 0.201, 0.587], [0.201, 0.519, 0.614], [0.519, 0.318, 0.905], [0.019, 0.614, 0.701], [0.481, 0.799, 0.886], [0.299, 0.413, 0.818], [0.095, 0.913, 0.114], [0.413, 0.299, 0.318], [0.905, 0.818, 0.519], [0.386, 0.405, 0.087], [0.318, 0.519, 0.405], [0.701, 0.587, 0.182], [0.318, 0.799, 0.413], [0.913, 0.818, 0.799], [0.886, 0.587, 0.905], [0.095, 0.182, 0.481], [0.087, 0.182, 0.201], [0.114, 0.701, 0.519], [0.701, 0.114, 0.019], [0.587, 0.886, 0.405], [0.087, 0.905, 0.386], [0.405, 0.386, 0.587], [0.201, 0.682, 0.087], [0.818, 0.913, 0.299], [0.114, 0.413, 0.095], [0.481, 0.682, 0.095], [0.981, 0.595, 0.182], [0.905, 0.087, 0.886], [0.595, 0.614, 0.413], [0.299, 0.886, 0.981], [0.750, 0.125, 0.875], [0.750, 0.625, 0.375], [0.500, 0.000, 0.500], [0.250, 0.375, 0.625], [0.125, 0.375, 0.250], [0.500, 0.500, 0.000], [0.000, 0.500, 0.500], [0.625, 0.750, 0.875], [0.375, 0.250, 0.125], [0.125, 0.750, 0.375], [0.375, 0.125, 0.750], [0.000, 0.000, 0.500], [0.250, 0.875, 0.125], [0.625, 0.875, 0.250], [0.000, 0.000, 0.000], [0.875, 0.250, 0.625], [0.500, 0.500, 0.500], [0.875, 0.625, 0.750], [0.500, 0.000, 0.000], [0.000, 0.500, 0.000], [0.125, 0.875, 0.750], [0.625, 0.375, 0.750], [0.250, 0.625, 0.875], [0.375, 0.625, 0.250], [0.875, 0.750, 0.125], [0.250, 0.125, 0.375], [0.375, 0.750, 0.625], [0.750, 0.375, 0.125], [0.625, 0.250, 0.375], [0.875, 0.125, 0.250], [0.750, 0.875, 0.625], [0.125, 0.250, 0.875]],
  "dos_at_fermi_per_ev_atom": 0.75,
  "magmom_total_mub_per_atom": 0.00,
  "formation_enthalpy_0k_ev_per_atom": -0.22
}


Record 3
{
  "formula": "NaB3Rh",
  "functional": "GGA-PBE",
  "state": "optimized geometry",
  "cell": [[4.119, 0.000, 0.000], [0.000, 4.119, 0.000], [0.000, 0.000, 4.119]],
  "species": ["Na", "B", "B", "B", "Rh"],
  "frac_coords": [[0.000, 0.000, 0.000], [0.000, 0.000, 0.500], [0.500, 0.000, 0.000], [0.000, 0.500, 0.000], [0.500, 0.500, 0.500]],
  "dos_at_fermi_per_ev_atom": 0.85,
  "magmom_total_mub_per_atom": 0.00,
  "formation_enthalpy_0k_ev_per_atom": 2.95
}


Record 4
{
  "formula": "Na3Li4Tl4",
  "functional": "GGA-PBE",
  "state": "optimized geometry",
  "cell": [[5.043, 0.000, 0.000], [0.000, 7.024, 0.000], [-2.522, -3.512, 7.815]],
  "species": ["Na", "Na", "Na", "Li", "Li", "Li", "Li", "Tl", "Tl", "Tl", "Tl"],
  "frac_coords": [[0.000, 0.500, 0.000], [0.875, 0.875, 0.749], [0.125, 0.125, 0.251], [0.680, 0.883, 0.360], [0.320, 0.523, 0.640], [0.680, 0.477, 0.360], [0.320, 0.117, 0.640], [0.500, 0.775, 0.000], [0.802, 0.302, 0.603], [0.500, 0.225, 0.000], [0.198, 0.698, 0.397]],
  "dos_at_fermi_per_ev_atom": 0.38,
  "magmom_total_mub_per_atom": 0.00,
  "formation_enthalpy_0k_ev_per_atom": -0.10
}


Record 5
{
  "formula": "HfZr5N6",
  "functional": "GGA-PBE",
  "state": "optimized geometry",
  "cell": [[-4.365, -3.485, 0.757], [0.675, -4.590, -3.207], [2.727, -4.495, 2.048]],
  "species": ["N", "N", "N", "N", "N", "N", "Hf", "Zr", "Zr", "Zr", "Zr", "Zr"],
  "frac_coords": [[0.755, 0.408, 0.674], [0.245, 0.918, 0.674], [0.245, 0.592, 0.326], [0.754, 0.755, 0.000], [0.755, 0.082, 0.326], [0.246, 0.245, 0.000], [0.000, 0.000, 0.000], [0.500, 0.500, 0.000], [0.000, 0.332, 0.335], [0.000, 0.668, 0.665], [0.500, 0.832, 0.336], [0.500, 0.168, 0.664]],
  "dos_at_fermi_per_ev_atom": 0.29,
  "magmom_total_mub_per_atom": 0.00,
  "raw_formation_energy_ev_per_atom": -1.70
}


Record 6
{
  "formula": "Ac5Pb3N",
  "functional": "GGA-PBE",
  "state": "optimized geometry",
  "cell": [[7.245, 0.000, 0.000], [0.000, 9.883, 0.000], [0.000, -4.942, 8.559]],
  "species": ["Ac", "Ac", "Ac", "Ac", "Ac", "Ac", "Ac", "Ac", "Ac", "Ac", "Pb", "Pb", "Pb", "Pb", "Pb", "Pb", "N", "N"],
  "frac_coords": [[0.500, 0.333, 0.667], [0.000, 0.333, 0.667], [0.750, 0.786, 0.000], [0.750, 0.214, 0.214], [0.250, 0.786, 0.786], [0.500, 0.667, 0.333], [0.250, 0.000, 0.214], [0.000, 0.667, 0.333], [0.250, 0.214, 0.000], [0.750, 0.000, 0.786], [0.750, 0.000, 0.405], [0.750, 0.595, 0.595], [0.250, 0.405, 0.405], [0.250, 0.595, 0.000], [0.250, 0.000, 0.595], [0.750, 0.405, 0.000], [0.000, 0.000, 0.000], [0.500, 0.000, 0.000]],
  "dos_at_fermi_per_ev_atom": 0.72,
  "magmom_total_mub_per_atom": 0.00,
  "raw_formation_energy_ev_per_atom": -0.68
}


Record 7
{
  "formula": "CaYbPb2",
  "functional": "GGA-PBE",
  "state": "optimized geometry",
  "cell": [[5.539, 0.000, 0.000], [2.770, 4.797, 0.000], [2.770, 1.599, 4.522]],
  "species": ["Ca", "Pb", "Pb", "Yb"],
  "frac_coords": [[0.750, 0.750, 0.750], [0.000, 0.000, 0.000], [0.500, 0.500, 0.500], [0.250, 0.250, 0.250]],
  "dos_at_fermi_per_ev_atom": 0.52,
  "magmom_total_mub_per_atom": 0.00,
  "formation_enthalpy_0k_ev_per_atom": -0.53
}


Record 8
{
  "formula": "ZnTcF2",
  "functional": "GGA-PBE",
  "state": "optimized geometry",
  "cell": [[5.332, 0.000, 0.000], [0.000, 5.332, 0.000], [2.666, 2.666, 4.364]],
  "species": ["F", "F", "F", "F", "Tc", "Tc", "Zn", "Zn"],
  "frac_coords": [[0.875, 0.811, 0.750], [0.561, 0.125, 0.250], [0.189, 0.625, 0.250], [0.375, 0.439, 0.750], [0.750, 0.250, 0.500], [0.000, 0.000, 0.000], [0.250, 0.750, 0.500], [0.500, 0.500, 0.000]],
  "dos_at_fermi_per_ev_atom": 1.12,
  "magmom_total_mub_per_atom": 0.95,
  "raw_formation_energy_ev_per_atom": -0.30
}


Record 9
{
  "formula": "UPb3O6",
  "functional": "GGA-PBE",
  "state": "optimized geometry",
  "cell": [[-3.982, -4.494, -0.353], [3.956, -3.780, 3.494], [-3.704, 2.984, 7.422]],
  "species": ["O", "O", "O", "O", "O", "O", "O", "O", "O", "O", "O", "O", "U", "U", "Pb", "Pb", "Pb", "Pb", "Pb", "Pb"],
  "frac_coords": [[0.850, 0.736, 0.072], [0.120, 0.064, 0.227], [0.807, 0.656, 0.467], [0.307, 0.844, 0.967], [0.150, 0.264, 0.928], [0.650, 0.236, 0.428], [0.693, 0.156, 0.033], [0.380, 0.564, 0.273], [0.620, 0.436, 0.727], [0.880, 0.936, 0.773], [0.350, 0.764, 0.572], [0.193, 0.344, 0.533], [0.000, 0.000, 0.000], [0.500, 0.500, 0.500], [0.499, 0.959, 0.231], [0.500, 0.500, 0.000], [0.501, 0.041, 0.769], [0.000, 0.000, 0.500], [0.001, 0.459, 0.269], [0.999, 0.541, 0.731]],
  "magmom_total_mub_per_atom": 0.00,
  "raw_formation_energy_ev_per_atom": -1.93
}


Record 10
{
  "formula": "TcCI2",
  "functional": "GGA-PBE",
  "state": "optimized geometry",
  "cell": [[5.862, 0.000, 0.000], [0.000, 5.862, 0.000], [2.931, 2.931, 5.763]],
  "species": ["I", "I", "I", "I", "C", "C", "Tc", "Tc"],
  "frac_coords": [[0.141, 0.625, 0.250], [0.875, 0.859, 0.750], [0.375, 0.391, 0.750], [0.609, 0.125, 0.250], [0.500, 0.500, 0.000], [0.250, 0.750, 0.500], [0.750, 0.250, 0.500], [0.000, 0.000, 0.000]],
  "dos_at_fermi_per_ev_atom": 0.92,
  "magmom_total_mub_per_atom": 0.00,
  "raw_formation_energy_ev_per_atom": 1.88
}


Record 11
{
  "formula": "PmCo2P2",
  "functional": "GGA-PBE",
  "state": "optimized geometry",
  "cell": [[3.881, 0.000, 0.000], [0.000, 3.881, 0.000], [-1.941, -1.941, 4.834]],
  "species": ["Co", "Co", "Pm", "P", "P"],
  "frac_coords": [[0.250, 0.750, 0.500], [0.750, 0.250, 0.500], [0.000, 0.000, 0.000], [0.632, 0.632, 0.264], [0.368, 0.368, 0.736]],
  "dos_at_fermi_per_ev_atom": 0.51,
  "magmom_total_mub_per_atom": 0.29,
  "formation_enthalpy_0k_ev_per_atom": -0.99
}


Record 12
{
  "formula": "Sm5Ag2Hg2",
  "functional": "GGA-PBE",
  "state": "optimized geometry",
  "cell": [[-4.163, -6.842, 0.456], [2.876, -2.186, -6.550], [5.072, -2.596, 7.364]],
  "species": ["Sm", "Sm", "Sm", "Sm", "Sm", "Sm", "Sm", "Sm", "Sm", "Sm", "Hg", "Hg", "Hg", "Hg", "Ag", "Ag", "Ag", "Ag"],
  "frac_coords": [[0.175, 0.186, 0.723], [0.500, 0.500, 0.000], [0.000, 0.000, 0.000], [0.325, 0.686, 0.723], [0.675, 0.037, 0.723], [0.175, 0.463, 0.277], [0.825, 0.537, 0.723], [0.675, 0.314, 0.277], [0.825, 0.814, 0.277], [0.325, 0.963, 0.277], [0.000, 0.785, 0.569], [0.000, 0.215, 0.431], [0.500, 0.285, 0.569], [0.500, 0.715, 0.431], [0.367, 0.120, 0.000], [0.133, 0.620, 0.000], [0.867, 0.380, 0.000], [0.633, 0.880, 0.000]],
  "dos_at_fermi_per_ev_atom": 1.20,
  "magmom_total_mub_per_atom": 0.00,
  "formation_enthalpy_0k_ev_per_atom": -0.27
}


Record 13
{
  "formula": "NaCaY2",
  "functional": "GGA-PBE",
  "state": "optimized geometry",
  "cell": [[0.000, 4.083, 4.083], [4.083, 0.000, 4.083], [4.083, 4.083, 0.000]],
  "species": ["Na", "Y", "Y", "Ca"],
  "frac_coords": [[0.000, 0.000, 0.000], [0.250, 0.250, 0.250], [0.750, 0.750, 0.750], [0.500, 0.500, 0.500]],
  "dos_at_fermi_per_ev_atom": 1.25,
  "magmom_total_mub_per_atom": 0.00,
  "formation_enthalpy_0k_ev_per_atom": 0.32
}


Record 14
{
  "formula": "Cd2SbPdPt5",
  "functional": "GGA-PBE",
  "state": "optimized geometry",
  "cell": [[-0.350, 5.754, -5.525], [2.097, -5.270, -5.621], [-6.023, -1.378, 4.716]],
  "species": ["Pt", "Pt", "Pt", "Pt", "Pt", "Pt", "Pt", "Pt", "Pt", "Pt", "Pd", "Pd", "Cd", "Cd", "Cd", "Cd", "Sb", "Sb"],
  "frac_coords": [[0.168, 0.063, 0.731], [0.668, 0.168, 0.731], [0.832, 0.937, 0.269], [0.063, 0.563, 0.731], [0.332, 0.832, 0.269], [0.000, 0.000, 0.000], [0.437, 0.332, 0.269], [0.500, 0.500, 0.000], [0.563, 0.668, 0.731], [0.937, 0.437, 0.269], [0.750, 0.250, 0.500], [0.250, 0.750, 0.500], [0.887, 0.613, 0.000], [0.613, 0.113, 0.000], [0.387, 0.887, 0.000], [0.113, 0.387, 0.000], [0.250, 0.250, 0.500], [0.750, 0.750, 0.500]],
  "dos_at_fermi_per_ev_atom": 0.78,
  "magmom_total_mub_per_atom": 0.00,
  "raw_formation_energy_ev_per_atom": 0.15
}


Record 15
{
  "formula": "Zn5SiPd6",
  "functional": "GGA-PBE",
  "state": "optimized geometry",
  "cell": [[-2.550, 2.168, 2.531], [-4.198, -4.962, -3.501], [5.392, -2.726, 4.243]],
  "species": ["Zn", "Zn", "Zn", "Zn", "Zn", "Si", "Pd", "Pd", "Pd", "Pd", "Pd", "Pd"],
  "frac_coords": [[0.500, 0.819, 0.181], [0.000, 0.339, 0.661], [0.500, 0.500, 0.500], [0.000, 0.661, 0.339], [0.500, 0.181, 0.819], [0.000, 0.000, 0.000], [0.273, 0.774, 0.774], [0.762, 0.924, 0.603], [0.727, 0.226, 0.226], [0.762, 0.603, 0.924], [0.238, 0.076, 0.397], [0.238, 0.397, 0.076]],
  "dos_at_fermi_per_ev_atom": 0.43,
  "magmom_total_mub_per_atom": 0.00,
  "raw_formation_energy_ev_per_atom": -0.54
}


Record 16
{
  "formula": "Lu2TcSe",
  "functional": "GGA-PBE",
  "state": "optimized geometry",
  "cell": [[3.463, 0.000, 0.000], [1.731, 2.999, 0.000], [1.731, 1.000, 8.976]],
  "species": ["Se", "Tc", "Lu", "Lu"],
  "frac_coords": [[0.500, 0.500, 0.500], [0.000, 0.000, 0.000], [0.095, 0.095, 0.714], [0.905, 0.905, 0.286]],
  "dos_at_fermi_per_ev_atom": 0.75,
  "magmom_total_mub_per_atom": 0.22,
  "raw_formation_energy_ev_per_atom": 0.01
}


Record 17
{
  "formula": "DyZn2Ni2",
  "functional": "GGA-PBE",
  "state": "optimized geometry",
  "cell": [[-1.279, -3.708, -0.050], [3.702, -1.274, -0.244], [0.288, -0.170, 5.253]],
  "species": ["Ni", "Ni", "Dy", "Zn", "Zn"],
  "frac_coords": [[0.500, 0.500, 0.778], [0.500, 0.500, 0.222], [0.000, 0.000, 0.000], [0.000, 0.500, 0.500], [0.500, 0.000, 0.500]],
  "dos_at_fermi_per_ev_atom": 0.63,
  "magmom_total_mub_per_atom": 0.00,
  "formation_enthalpy_0k_ev_per_atom": -0.38
}


Record 18
{
  "formula": "B3ClF",
  "functional": "GGA-PBE",
  "state": "optimized geometry",
  "cell": [[4.283, 0.000, 0.000], [0.000, 4.283, 0.000], [0.000, 0.000, 4.283]],
  "species": ["F", "Cl", "B", "B", "B"],
  "frac_coords": [[0.000, 0.000, 0.000], [0.500, 0.500, 0.500], [0.000, 0.500, 0.000], [0.500, 0.000, 0.000], [0.000, 0.000, 0.500]],
  "dos_at_fermi_per_ev_atom": 0.25,
  "magmom_total_mub_per_atom": 0.00,
  "raw_formation_energy_ev_per_atom": 2.07
}


Record 19
{
  "formula": "LuMg2Au",
  "functional": "GGA-PBE",
  "state": "optimized geometry",
  "cell": [[3.271, 0.000, 0.000], [1.636, 2.833, 0.000], [1.636, 0.944, 10.472]],
  "species": ["Mg", "Mg", "Au", "Lu"],
  "frac_coords": [[0.899, 0.899, 0.304], [0.101, 0.101, 0.696], [0.500, 0.500, 0.500], [0.000, 0.000, 0.000]],
  "dos_at_fermi_per_ev_atom": 0.76,
  "magmom_total_mub_per_atom": 0.00,
  "formation_enthalpy_0k_ev_per_atom": 0.00
}